No. 1
## NbCrTc (PBE)

Data for crystalline NbCrTc at its relaxed geometry.

Calculated values
Space group: Cm (8)
Energy relative to the lowest polymorph listed for this composition in eV per formula unit: 0.14

Lattice parameters (Å, degrees): 9.3049 4.3563 5.3547 90.00 124.71 90.00
With the nearest neighbours (Å) after each atom.
Element x y z (fractional)
Nb1 0.0000 0.0000 0.0000  4 Tc 2.65-2.71, 3 Cr 2.66-2.67, 1 Nb 2.76
Nb2 0.1583 0.5000 0.4967  4 Cr 2.65-2.70, 3 Tc 2.70, 1 Nb 2.76
Nb3 0.5000 0.5000 0.0000  4 Tc 2.65-2.71, 3 Cr 2.66-2.67, 1 Nb 2.76
Nb4 0.6583 0.0000 0.4967  4 Cr 2.65-2.70, 3 Tc 2.70, 1 Nb 2.76
Cr1 0.1621 0.5000 0.9961  3 Tc 2.65, 4 Nb 2.65-2.70, 1 Cr 2.71
Cr2 0.3280 0.0000 0.4955  4 Tc 2.63-2.70, 3 Nb 2.67-2.69, 1 Cr 2.71
Cr3 0.6621 0.0000 0.9961  3 Tc 2.65, 4 Nb 2.65-2.70, 1 Cr 2.71
Cr4 0.8280 0.5000 0.4955  4 Tc 2.63-2.70, 3 Nb 2.67-2.69, 1 Cr 2.71
Tc1 0.3253 0.0000 0.9977  4 Cr 2.65-2.70, 3 Nb 2.70-2.71, 1 Tc 2.76
Tc2 0.4854 0.5000 0.4912  3 Cr 2.63-2.65, 4 Nb 2.65-2.71, 1 Tc 2.76
Tc3 0.8253 0.5000 0.9977  4 Cr 2.65-2.70, 3 Nb 2.70-2.71, 1 Tc 2.76
Tc4 0.9854 0.0000 0.4912  3 Cr 2.63-2.65, 4 Nb 2.65-2.71, 1 Tc 2.76

---

No. 2
## KRbO2 (PBE)

Data for crystalline KRbO2 at its relaxed geometry.

Calculated values
Space group: I-42d (122)
E_form (uncorrected) in meV per atom: -526

Lattice parameters (Å, degrees): 6.3204 6.3204 12.4873 90.00 90.00 90.00
With the nearest neighbours (Å) after each atom.
Element x y z (fractional)
K1 0.0000 0.0000 0.0000  4 O 2.71
K2 0.0000 0.5000 0.2500  4 O 2.71
K3 0.5000 0.0000 0.7500  4 O 2.71
K4 0.5000 0.5000 0.5000  4 O 2.71
Rb1 0.0000 0.0000 0.5000  4 O 2.74
Rb2 0.0000 0.5000 0.7500  4 O 2.74
Rb3 0.5000 0.0000 0.2500  4 O 2.74
Rb4 0.5000 0.5000 0.0000  4 O 2.74
O1 0.2463 0.2500 0.1250  2 K 2.71, 2 Rb 2.74
O2 0.2500 0.7463 0.3750  2 K 2.71, 2 Rb 2.74
O3 0.2500 0.7537 0.8750  2 K 2.71, 2 Rb 2.74
O4 0.2537 0.2500 0.6250  2 K 2.71, 2 Rb 2.74
O5 0.7463 0.7500 0.6250  2 K 2.71, 2 Rb 2.74
O6 0.7500 0.2463 0.8750  2 K 2.71, 2 Rb 2.74
O7 0.7500 0.2537 0.3750  2 K 2.71, 2 Rb 2.74
O8 0.7537 0.7500 0.1250  2 K 2.71, 2 Rb 2.74

---

No. 3
## TlFe2CoW (PBE)

Data for crystalline TlFe2CoW at its relaxed geometry.

Calculated values
Space group: P4/mmm (123)
Energy in eV per atom: -6.017

Lattice parameters (Å, degrees): 4.4160 4.4160 5.3082 90.00 90.00 90.00
With the nearest neighbours (Å) after each atom.
Element x y z (fractional)
Tl1 0.0000 0.0000 0.0000  2 W 2.65
Fe1 0.0000 0.5000 0.5000  2 W 2.21
Fe2 0.5000 0.0000 0.5000  2 W 2.21
Co1 0.5000 0.5000 0.0000  4 Tl 3.12, 8 Fe 3.45
W1 0.0000 0.0000 0.5000  4 Fe 2.21

---

No. 4
## Ba7Pd2Pt2 (PBE)

Data for crystalline Ba7Pd2Pt2 at its relaxed geometry.

Calculated values
Space group: C2/m (12)
Energy in eV per atom: -3.638

Lattice parameters (Å, degrees): 8.4340 8.4340 8.2038 94.16 94.16 109.96
With the nearest neighbours (Å) after each atom.
Element x y z (fractional)
Ba1 0.0000 0.0000 0.0000  2 Pt 3.01
Ba2 0.0474 0.4457 0.7312  1 Pt 3.07, 2 Pd 3.25-3.29
Ba3 0.4275 0.4275 0.2556  2 Pt 3.09-3.17, 2 Pd 3.30
Ba4 0.4457 0.0474 0.7312  1 Pt 3.07, 2 Pd 3.25-3.29
Ba5 0.5543 0.9526 0.2688  1 Pt 3.07, 2 Pd 3.25-3.29
Ba6 0.5725 0.5725 0.7444  2 Pt 3.09-3.17, 2 Pd 3.30
Ba7 0.9526 0.5543 0.2688  1 Pt 3.07, 2 Pd 3.25-3.29
Pd1 0.3121 0.6879 0.5000  6 Ba 3.25-3.30
Pd2 0.6879 0.3121 0.5000  6 Ba 3.25-3.30
Pt1 0.2875 0.2875 0.8960  5 Ba 3.01-3.17
Pt2 0.7125 0.7125 0.1040  5 Ba 3.01-3.17

---

No. 5
## Rb2IrPtBr6 (PBE)

Data for crystalline Rb2IrPtBr6 at its relaxed geometry.

Calculated values
Space group: I4/mmm (139)
E_form (uncorrected) in meV per atom: -643

Lattice parameters (Å, degrees): 7.4323 7.4323 7.4323 119.88 119.88 90.21
With the nearest neighbours (Å) after each atom.
Element x y z (fractional)
Rb1 0.2500 0.7500 0.5000  12 Br 3.72
Rb2 0.7500 0.2500 0.5000  12 Br 3.72
Ir1 0.0000 0.0000 0.0000  6 Br 2.58-2.59
Pt1 0.5000 0.5000 0.0000  6 Br 2.66-2.68
Br1 0.2453 0.2453 0.4906  1 Ir 2.58, 1 Pt 2.68
Br2 0.2453 0.7547 0.0000  1 Ir 2.58, 1 Pt 2.68
Br3 0.2465 0.2465 0.0000  1 Ir 2.59, 1 Pt 2.66
Br4 0.7535 0.7535 0.0000  1 Ir 2.59, 1 Pt 2.66
Br5 0.7547 0.2453 0.0000  1 Ir 2.58, 1 Pt 2.68
Br6 0.7547 0.7547 0.5094  1 Ir 2.58, 1 Pt 2.68

---

No. 6
## SmInSnBr6 (PBE)

Data for crystalline SmInSnBr6 at its relaxed geometry.

Calculated values
Space group: P312 (149)
E_form (uncorrected) in meV per atom: -1248

Lattice parameters (Å, degrees): 7.6094 7.6094 7.1289 90.00 90.00 120.00
With the nearest neighbours (Å) after each atom.
Element x y z (fractional)
Sm1 0.0000 0.0000 0.0000  6 Br 2.88
In1 0.3333 0.6667 0.5000  6 Br 3.36
Sn1 0.6667 0.3333 0.0000  6 Br 3.00
Br1 0.3212 0.0231 0.2316  1 Sm 2.88, 1 Sn 3.00
Br2 0.3212 0.2981 0.7684  1 Sm 2.88, 1 Sn 3.00
Br3 0.7019 0.0231 0.7684  1 Sm 2.88, 1 Sn 3.00
Br4 0.7019 0.6788 0.2316  1 Sm 2.88, 1 Sn 3.00
Br5 0.9769 0.2981 0.2316  1 Sm 2.88, 1 Sn 3.00
Br6 0.9769 0.6788 0.7684  1 Sm 2.88, 1 Sn 3.00

---

No. 7
## KAs2SeN (PBE)

Data for crystalline KAs2SeN at its relaxed geometry.

Calculated values
Space group: P4/mmm (123)
E_form (uncorrected) in meV per atom: 2171
Energy relative to the lowest polymorph listed for this composition in eV per formula unit: 7.71

Lattice parameters (Å, degrees): 7.0550 7.0550 6.2269 90.00 90.00 90.00
With the nearest neighbours (Å) after each atom.
Element x y z (fractional)
K1 0.0000 0.0000 0.0000  2 Se 3.11
As1 0.0000 0.5000 0.0000  2 K 3.53
As2 0.5000 0.0000 0.0000  2 K 3.53
Se1 0.0000 0.0000 0.5000  2 K 3.11
N1 0.5000 0.5000 0.5000  8 As 4.70, 4 Se 4.99

---

No. 8
## La3PmGa (PBE)

Data for crystalline La3PmGa at its relaxed geometry.

Calculated values
Space group: P-1 (2)
Energy relative to the lowest polymorph listed for this composition in eV per formula unit: 0.00

Lattice parameters (Å, degrees): 3.7290 9.2971 9.7333 76.04 79.02 89.99
With the nearest neighbours (Å) after each atom.
Element x y z (fractional)
La1 0.0005 0.1728 0.0012  2 La 3.22-3.49, 4 Ga 3.25-3.38
La2 0.9995 0.8272 0.9988  2 La 3.22-3.49, 4 Ga 3.25-3.38
La3 0.1870 0.8674 0.6263  2 Ga 3.18, 3 La 3.49-3.53
La4 0.2041 0.3392 0.5923  2 Ga 3.18-3.19
La5 0.7959 0.6608 0.4077  2 Ga 3.18-3.19
La6 0.8130 0.1326 0.3737  2 Ga 3.18, 3 La 3.49-3.53
Pm1 0.4080 0.4656 0.1798  3 Pm 3.34-3.73, 4 La 3.66-3.70
Pm2 0.5920 0.5344 0.8202  3 Pm 3.34-3.73, 4 La 3.66-3.70
Ga1 0.3805 0.9244 0.2389  8 La 3.18-3.38
Ga2 0.6195 0.0756 0.7611  8 La 3.18-3.38

---

Number 1: total magnetic moment 0.000 μB per formula unit. Number 2: total magnetic moment 2.000 μB per formula unit. Number 3: total magnetic moment 5.228 μB per formula unit. Number 4: total magnetic moment 0.000 μB per formula unit. Number 5: total magnetic moment 0.005 μB per formula unit. Number 6: total magnetic moment 0.000 μB per formula unit. Number 7: total magnetic moment 7.910 μB per formula unit. Number 8: total magnetic moment 0.000 μB per formula unit.